Record 1
Here is a relaxed structure of Hg2RhPb from Alexandria via LeMat-Bulk. Energies are from PBE-GGA.

```
data_Hg2RhPb
_cell_length_a 14.090
_cell_length_b 3.127
_cell_length_c 4.653
_cell_angle_alpha 90.00
_cell_angle_beta 109.19
_cell_angle_gamma 90.00
_space_group_name_H-M_alt 'C 1 m 1'
_space_group_IT_number 8
loop_
_space_group_symop_operation_xyz
'x,y,z'
'x,-y,z'
'x+1/2,y+1/2,z'
'x+1/2,-y+1/2,z'
loop_
_atom_site_label
_atom_site_type_symbol
_atom_site_fract_x
_atom_site_fract_y
_atom_site_fract_z
Hg1 Hg 0.000 0.000 0.000
Hg2 Hg 0.174 0.000 0.674
Rh1 Rh 0.179 0.500 0.179
Pb1 Pb 0.357 0.000 0.357
```



Record 2
Here is a relaxed structure of Hg2RhPb from Alexandria via LeMat-Bulk. Energies are from PBE-GGA.

```
data_Hg2RhPb
_cell_length_a 7.024
_cell_length_b 7.024
_cell_length_c 7.024
_cell_angle_alpha 90.00
_cell_angle_beta 90.00
_cell_angle_gamma 90.00
_space_group_name_H-M_alt 'F -4 3 m'
_space_group_IT_number 216
_space_group_name_Hall 'F -4 2 3'
loop_
_atom_site_label
_atom_site_type_symbol
_atom_site_fract_x
_atom_site_fract_y
_atom_site_fract_z
Hg1 Hg 0.000 0.000 0.000
Hg2 Hg 0.250 0.250 0.250
Rh1 Rh 0.000 0.000 0.500
Pb1 Pb 0.250 0.250 0.750
```



Record 3
Here is a relaxed structure of HgRhPb3 from Alexandria via LeMat-Bulk. Energies are from PBE-GGA.

```
data_HgRhPb3
_cell_length_a 5.328
_cell_length_b 5.328
_cell_length_c 5.328
_cell_angle_alpha 90.00
_cell_angle_beta 90.00
_cell_angle_gamma 90.00
_space_group_name_H-M_alt 'P m -3 m'
_space_group_IT_number 221
_space_group_name_Hall '-P 4 2 3'
loop_
_atom_site_label
_atom_site_type_symbol
_atom_site_fract_x
_atom_site_fract_y
_atom_site_fract_z
Hg1 Hg 0.000 0.000 0.000
Rh1 Rh 0.500 0.500 0.500
Pb1 Pb 0.000 0.500 0.500
```



Record 4
Here is a relaxed structure of Hg2RhPb from Alexandria via LeMat-Bulk. Energies are from PBE-GGA.

```
data_Hg2RhPb
_cell_length_a 8.735
_cell_length_b 8.735
_cell_length_c 5.334
_cell_angle_alpha 90.00
_cell_angle_beta 90.00
_cell_angle_gamma 90.00
_space_group_name_H-M_alt 'I -4 2 d'
_space_group_IT_number 122
_space_group_name_Hall 'I -4 2bw'
loop_
_atom_site_label
_atom_site_type_symbol
_atom_site_fract_x
_atom_site_fract_y
_atom_site_fract_z
Hg1 Hg 0.173 0.750 0.125
Rh1 Rh 0.000 0.000 0.000
Pb1 Pb 0.000 0.000 0.500
```



no.,theoretical density (g/cm3),E_form (eV/f.u.)
1,12.20,0.2
2,13.63,1.1
3,10.16,0.5
4,11.61,0.8